Entry 1:
First-principles (GGA-PBE) data for a relaxed structure of LaNbSn3, as listed in Alexandria via LeMat-Bulk.

a b c (Å): 5.3296 5.3296 5.3296
angles (deg): 90.00 90.00 90.00
Space group Pm-3m (No. 221)
Symmetry-distinct sites (fractional):
La1 0.0000 0.0000 0.0000 (multiplicity 1)
Nb1 0.5000 0.5000 0.5000 (multiplicity 1)
Sn1 0.0000 0.5000 0.5000 (multiplicity 3)

- crystal system = cubic
- E (eV/atom) = -5.467
- energy of formation from the pure elements (kJ per mole of atoms) = -6.32

***

Entry 2:
First-principles (GGA-PBE) data for a relaxed structure of Mg2AgSn2, as listed in Alexandria via LeMat-Bulk.

a b c (Å): 8.1906 8.1906 3.5531
angles (deg): 90.00 90.00 90.00
Space group P4/mbm (No. 127)
Symmetry-distinct sites (fractional):
Mg1 0.1302 0.3698 0.0000 (multiplicity 4)
Ag1 0.0000 0.0000 0.0000 (multiplicity 2)
Sn1 0.1730 0.6730 0.5000 (multiplicity 4)

- crystal system = tetragonal
- E (eV/atom) = -2.743
- energy of formation from the pure elements (kJ per mole of atoms) = 6.41

***

Entry 3:
First-principles (GGA-PBE) data for a relaxed structure of Pr8As3Se4S, as listed in Alexandria via LeMat-Bulk.

a b c (Å): 8.5072 8.5072 21.0446
angles (deg): 90.00 90.00 120.00
Space group R-3m (No. 166, hexagonal axes)
Symmetry-distinct sites (fractional):
Pr1 0.0000 0.0000 0.2467 (multiplicity 6)
Pr2 0.0020 0.5010 0.2457 (multiplicity 18)
As1 0.0000 0.5000 0.5000 (multiplicity 9)
Se1 0.0000 0.0000 0.0000 (multiplicity 3)
Se2 0.0000 0.5000 0.0000 (multiplicity 9)
S1 0.0000 0.0000 0.5000 (multiplicity 3)

- formation energy from raw total energies (eV per atom) = -1.78
- crystal system = trigonal
- E (eV/atom) = -6.174

***

Entry 4:
First-principles (GGA-PBE) data for a relaxed structure of ZnSnMo2As, as listed in Alexandria via LeMat-Bulk.

a b c (Å): 4.8764 4.8764 4.7446
angles (deg): 90.00 90.00 90.00
Space group P4/mmm (No. 123)
Symmetry-distinct sites (fractional):
Zn1 0.0000 0.0000 0.0000 (multiplicity 1)
Sn1 0.0000 0.0000 0.5000 (multiplicity 1)
Mo1 0.0000 0.5000 0.0000 (multiplicity 2)
As1 0.5000 0.5000 0.5000 (multiplicity 1)

- crystal system = tetragonal
- E (eV/atom) = -4.826
- energy of formation from the pure elements (kJ per mole of atoms) = 143.94